No. 1
A relaxed structure of YAl2Sb, computed with GGA-PBE.

Lattice parameters (Å, degrees): 5.1104 5.1104 5.1104 60.00 60.00 60.00
Atoms (fractional coordinates):
Al  0.2500  0.2500  0.2500
Y  0.7500  0.7500  0.7500
Sb  0.5000  0.5000  0.5000
Al  0.0000  0.0000  0.0000

Properties
Fermi-level density of states: 0.74 states/eV per atom
ΔE_f (raw): -0.072 eV/atom
SG: F-43m (216)

***

No. 2
A relaxed structure of LaHRh, computed with GGA-PBE.

Lattice parameters (Å, degrees): 5.0739 3.7113 10.6594 90.00 90.00 90.00
Atoms (fractional coordinates):
H  0.2500  0.4997  0.1056
Rh  0.2500  0.9996  0.0936
Rh  0.7500  0.0004  0.9064
La  0.7500  0.9998  0.6391
La  0.2500  0.4998  0.8609
Rh  0.2500  0.5004  0.5936
La  0.2500  0.0002  0.3609
Rh  0.7500  0.4996  0.4064
H  0.7500  0.5003  0.8944
H  0.7500  0.9997  0.3944
H  0.2500  0.0003  0.6056
La  0.7500  0.5002  0.1391

Properties
Fermi-level density of states: 0.41 states/eV per atom
Raw total energy: -5.881 eV per atom
SG: Cmcm (63)

***

No. 3
A relaxed structure of YTi3Cr, computed with GGA-PBE.

Lattice parameters (Å, degrees): 4.7038 4.7038 4.7038 90.00 90.00 90.00
Atoms (fractional coordinates):
Y  0.0000  0.0000  0.0000
Ti  0.5000  0.0000  0.0000
Ti  0.0000  0.0000  0.5000
Cr  0.5000  0.5000  0.5000
Ti  0.0000  0.5000  0.0000

Properties
Fermi-level density of states: 1.81 states/eV per atom
Energy of formation: 1.97 eV/atom
SG: Pm-3m (221)